An optimized crystal structure of Y2SiAu2. Source: Alexandria, functional PBE.

Symmetry   P4/mbm (127)
Raw formation energy   -468 meV per atom

abc: 7.9906 7.9906 3.7757
angles: 90.00 90.00 90.00
With the nearest neighbours (Å) after each atom.
Fractional positions:
1 Y 0.1712 0.3288 0.0000  6 Au 2.96-3.06, 2 Si 2.96
2 Y 0.3288 0.8288 0.0000  6 Au 2.96-3.06, 2 Si 2.96
3 Y 0.6712 0.1712 0.0000  6 Au 2.96-3.06, 2 Si 2.96
4 Y 0.8288 0.6712 0.0000  6 Au 2.96-3.06, 2 Si 2.96
5 Si 0.0000 0.0000 0.0000  4 Y 2.96
6 Si 0.5000 0.5000 0.0000  4 Y 2.96
7 Au 0.1271 0.6271 0.5000  1 Au 2.87, 6 Y 2.96-3.06
8 Au 0.3729 0.1271 0.5000  1 Au 2.87, 6 Y 2.96-3.06
9 Au 0.6271 0.8729 0.5000  1 Au 2.87, 6 Y 2.96-3.06
10 Au 0.8729 0.3729 0.5000  1 Au 2.87, 6 Y 2.96-3.06

An optimized crystal structure of YSi2Au. Source: Alexandria, functional PBE.

Symmetry   Fm-3m (225)
Raw formation energy   -59 meV per atom

abc: 4.7695 4.7695 4.7695
angles: 60.00 60.00 60.00
With the nearest neighbours (Å) after each atom.
Fractional positions:
1 Y 0.0000 0.0000 0.0000  8 Si 2.92
2 Si 0.2500 0.2500 0.2500  4 Au 2.92, 4 Y 2.92
3 Si 0.7500 0.7500 0.7500  4 Y 2.92, 4 Au 2.92
4 Au 0.5000 0.5000 0.5000  8 Si 2.92

An optimized crystal structure of YSiAu2. Source: Alexandria, functional PBE.

Symmetry   P4/mmm (123)
Raw formation energy   -390 meV per atom

abc: 3.7022 3.7022 5.9601
angles: 90.00 90.00 90.00
With the nearest neighbours (Å) after each atom.
Fractional positions:
1 Y 0.0000 0.0000 0.0000  2 Si 2.98, 8 Au 3.04
2 Si 0.0000 0.0000 0.5000  2 Y 2.98, 8 Au 2.99
3 Au 0.5000 0.5000 0.2586  2 Au 2.88-3.08, 4 Si 2.99, 4 Y 3.04
4 Au 0.5000 0.5000 0.7414  2 Au 2.88-3.08, 4 Si 2.99, 4 Y 3.04

An optimized crystal structure of Y3Si3Au2. Source: Alexandria, functional PBE.

Symmetry   Cmcm (63)
Raw formation energy   -800 meV per atom

abc: 5.7651 5.7651 14.1880
angles: 90.00 90.00 136.33
With the nearest neighbours (Å) after each atom.
Fractional positions:
1 Y 0.0807 0.9193 0.6152  6 Si 2.97-3.09, 4 Au 3.11-3.28
2 Y 0.0807 0.9193 0.8848  6 Si 2.97-3.09, 4 Au 3.11-3.28
3 Y 0.3646 0.6354 0.7500  5 Si 2.99-3.12, 4 Au 3.18
4 Y 0.6354 0.3646 0.2500  5 Si 2.99-3.12, 4 Au 3.18
5 Y 0.9193 0.0807 0.1152  6 Si 2.97-3.09, 4 Au 3.11-3.28
6 Y 0.9193 0.0807 0.3848  6 Si 2.97-3.09, 4 Au 3.11-3.28
7 Si 0.3477 0.6523 0.2500  2 Au 2.66, 4 Y 2.97
8 Si 0.4002 0.5998 0.5407  1 Si 2.43, 2 Au 2.56
9 Si 0.4002 0.5998 0.9593  1 Si 2.43, 2 Au 2.56
10 Si 0.5998 0.4002 0.0407  1 Si 2.43, 2 Au 2.56
11 Si 0.5998 0.4002 0.4593  1 Si 2.43, 2 Au 2.56
12 Si 0.6523 0.3477 0.7500  2 Au 2.66, 4 Y 2.97
13 Au 0.2101 0.7899 0.0942  4 Si 2.56-2.79
14 Au 0.2101 0.7899 0.4058  4 Si 2.56-2.79
15 Au 0.7899 0.2101 0.5942  4 Si 2.56-2.79
16 Au 0.7899 0.2101 0.9058  4 Si 2.56-2.79

An optimized crystal structure of YSi2Au4. Source: Alexandria, functional PBE.

Symmetry   Cmmm (65)
Raw formation energy   -445 meV per atom

abc: 7.1786 7.1786 4.3830
angles: 90.00 90.00 144.62
With the nearest neighbours (Å) after each atom.
Fractional positions:
1 Y 0.0000 0.0000 0.0000  8 Au 3.20-3.21, 8 Si 3.30
2 Si 0.4150 0.5850 0.5000  1 Si 2.33, 4 Au 2.48-2.49
3 Si 0.5850 0.4150 0.5000  1 Si 2.33, 4 Au 2.48-2.49
4 Au 0.1720 0.8280 0.5000  2 Si 2.48
5 Au 0.3285 0.6715 0.0000  2 Si 2.49
6 Au 0.6715 0.3285 0.0000  2 Si 2.49
7 Au 0.8280 0.1720 0.5000  2 Si 2.48

An optimized crystal structure of YSi2Au2. Source: Alexandria, functional PBE.

Symmetry   I4/mmm (139)
Raw formation energy   -559 meV per atom

abc: 5.9261 5.9261 5.9261
angles: 137.55 137.55 61.59
With the nearest neighbours (Å) after each atom.
Fractional positions:
1 Y 0.0000 0.0000 0.0000  8 Si 3.24, 8 Au 3.33
2 Si 0.3871 0.3871 0.0000  1 Si 2.30, 4 Au 2.56
3 Si 0.6129 0.6129 0.0000  1 Si 2.30, 4 Au 2.56
4 Au 0.2500 0.7500 0.5000  4 Si 2.56
5 Au 0.7500 0.2500 0.5000  4 Si 2.56